1.
HoTl2GeS4: optimized geometry, PBE.

a b c (Å): 3.8619 7.7950 6.8541
angles (deg): 73.38 90.00 90.00
Fractional coordinates of all 8 atoms:
Ho: 0.0000 0.5000 0.5000
Tl: 0.0000 0.0000 0.0000
Tl: 0.5000 0.0000 0.5000
Ge: 0.5000 0.5000 0.0000
S: 0.0000 0.6908 0.7797
S: 0.0000 0.3092 0.2203
S: 0.5000 0.6932 0.2562
S: 0.5000 0.3068 0.7438

Results
The magnetic moment comes out at 0.0 μB per formula unit. Its volume is 197.7 Å³ per cell. The calculation puts the uncorrected formation energy at -821 meV per atom. As for the crystal system: monoclinic. Its symmetry is No. 10. As for the density of states at the Fermi level: 3.89 states/eV/cell. The value obtained for the total energy is -4.63 eV per atom.


2.
Ho7Ge2Sb2: optimized geometry, PBE.

a b c (Å): 6.9570 6.7496 6.9570
angles (deg): 90.00 99.39 90.00
Fractional coordinates of all 11 atoms:
Ho: 0.0000 0.2568 0.5000
Ho: 0.5000 0.7432 0.0000
Ho: 0.0000 0.7432 0.5000
Ho: 0.5000 0.2568 0.0000
Ho: 0.0000 0.0000 0.0000
Ho: 0.5000 0.7529 0.5000
Ho: 0.5000 0.2471 0.5000
Ge: 0.7269 0.0000 0.2731
Ge: 0.2731 0.0000 0.7269
Sb: 0.7991 0.5000 0.7991
Sb: 0.2009 0.5000 0.2009

Results
The magnetic moment comes out at 0.0 μB per formula unit. Its volume is 322.3 Å³ per cell. The calculation puts the uncorrected formation energy at -495 meV per atom. As for the crystal system: orthorhombic. Its symmetry is No. 65. As for the density of states at the Fermi level: 13.13 states/eV/cell. The value obtained for the total energy is -5.00 eV per atom.